# PBE ErAl3GaNi, relaxed
data_ErAl3GaNi
_chemical_formula_sum 'Er4 Al12 Ga4 Ni4'
_cell_length_a 4.0414
_cell_length_b 15.2325
_cell_length_c 6.6328
_cell_angle_alpha 90.00
_cell_angle_beta 90.00
_cell_angle_gamma 90.00
_symmetry_space_group_name_H-M 'C m c m'
_symmetry_Int_Tables_number 63
_symmetry_space_group_name_Hall '-C 2c 2'
loop_
_atom_site_label
_atom_site_type_symbol
_atom_site_fract_x
_atom_site_fract_y
_atom_site_fract_z
Er1 Er 0.0000 0.1195 0.2500
Al1 Al 0.0000 0.3127 0.0522
Al2 Al 0.0000 0.5000 0.0000
Ga1 Ga 0.0000 0.0713 0.7500
Ni1 Ni 0.0000 0.2257 0.7500
# **Magnetization**: 0.00 μB per formula unit
# **Excess energy over the best structure of this formula in the dataset**: 16 meV per atom
# **Total DFT energy (no corrections)**: -110.8 eV for the cell shown

# PBE Er2AlGaPd4, relaxed
data_Er2AlGaPd4
_chemical_formula_sum 'Er2 Al1 Ga1 Pd4'
_cell_length_a 4.3779
_cell_length_b 4.3779
_cell_length_c 9.0237
_cell_angle_alpha 90.00
_cell_angle_beta 90.00
_cell_angle_gamma 120.00
_symmetry_space_group_name_H-M 'P -3 m 1'
_symmetry_Int_Tables_number 164
_symmetry_space_group_name_Hall '-P 3 2"'
loop_
_atom_site_label
_atom_site_type_symbol
_atom_site_fract_x
_atom_site_fract_y
_atom_site_fract_z
Er1 Er 0.3333 0.6667 0.2486
Al1 Al 0.0000 0.0000 0.5000
Ga1 Ga 0.0000 0.0000 0.0000
Pd1 Pd 0.3333 0.6667 0.5807
Pd2 Pd 0.3333 0.6667 0.9173
# **Magnetization**: 0.01 μB per formula unit
# **Total DFT energy (no corrections)**: -44.1 eV for the cell shown

# PBE Er2AlGaPt4, relaxed
data_Er2AlGaPt4
_chemical_formula_sum 'Er2 Al1 Ga1 Pt4'
_cell_length_a 4.3481
_cell_length_b 4.3481
_cell_length_c 9.1115
_cell_angle_alpha 90.00
_cell_angle_beta 90.00
_cell_angle_gamma 120.00
_symmetry_space_group_name_H-M 'P -3 m 1'
_symmetry_Int_Tables_number 164
_symmetry_space_group_name_Hall '-P 3 2"'
loop_
_atom_site_label
_atom_site_type_symbol
_atom_site_fract_x
_atom_site_fract_y
_atom_site_fract_z
Er1 Er 0.3333 0.6667 0.2491
Al1 Al 0.0000 0.0000 0.5000
Ga1 Ga 0.0000 0.0000 0.0000
Pt1 Pt 0.3333 0.6667 0.5849
Pt2 Pt 0.3333 0.6667 0.9129
# **Magnetization**: 0.00 μB per formula unit
# **Total DFT energy (no corrections)**: -49.3 eV for the cell shown

# PBE GdEr2Al, relaxed
data_GdEr2Al
_chemical_formula_sum 'Gd4 Er8 Al4'
_cell_length_a 6.8010
_cell_length_b 11.8235
_cell_length_c 5.2840
_cell_angle_alpha 90.00
_cell_angle_beta 90.00
_cell_angle_gamma 90.00
_symmetry_space_group_name_H-M 'C m c m'
_symmetry_Int_Tables_number 63
_symmetry_space_group_name_Hall '-C 2c 2'
loop_
_atom_site_label
_atom_site_type_symbol
_atom_site_fract_x
_atom_site_fract_y
_atom_site_fract_z
Gd1 Gd 0.0000 0.1754 0.2500
Er1 Er 0.2379 0.4134 0.2500
Al1 Al 0.0000 0.3354 0.7500
# **Magnetization**: 0.00 μB per formula unit
# **Excess energy over the best structure of this formula in the dataset**: 0 meV per atom
# **Total DFT energy (no corrections)**: -73.3 eV for the cell shown

# PBE GdErAl2, relaxed
data_GdErAl2
_chemical_formula_sum 'Gd4 Er4 Al8'
_cell_length_a 5.0141
_cell_length_b 6.6753
_cell_length_c 11.3621
_cell_angle_alpha 90.00
_cell_angle_beta 90.00
_cell_angle_gamma 90.00
_symmetry_space_group_name_H-M 'A m m 2'
_symmetry_Int_Tables_number 38
loop_
_symmetry_equiv_pos_as_xyz
'x,y,z'
'-x,-y,z'
'-x,y,z'
'x,-y,z'
'x,y+1/2,z+1/2'
'-x,-y+1/2,z+1/2'
'-x,y+1/2,z+1/2'
'x,-y+1/2,z+1/2'
loop_
_atom_site_label
_atom_site_type_symbol
_atom_site_fract_x
_atom_site_fract_y
_atom_site_fract_z
Gd1 Gd 0.0000 0.0000 0.0000
Gd2 Gd 0.5000 0.0000 0.3302
Er1 Er 0.0000 0.2321 0.7423
Al1 Al 0.0000 0.0000 0.5005
Al2 Al 0.5000 0.0000 0.8207
Al3 Al 0.5000 0.2094 0.5852
# **Magnetization**: 0.01 μB per formula unit
# **Excess energy over the best structure of this formula in the dataset**: 178 meV per atom
# **Total DFT energy (no corrections)**: -70.2 eV for the cell shown

# PBE Gd2Er2Al3, relaxed
data_Gd2Er2Al3
_chemical_formula_sum 'Gd4 Er4 Al6'
_cell_length_a 11.9273
_cell_length_b 5.0018
_cell_length_c 6.5959
_cell_angle_alpha 90.00
_cell_angle_beta 112.75
_cell_angle_gamma 90.00
_symmetry_space_group_name_H-M 'C 1 2/m 1'
_symmetry_Int_Tables_number 12
loop_
_symmetry_equiv_pos_as_xyz
'x,y,z'
'-x,-y,-z'
'-x,y,-z'
'x,-y,z'
'x+1/2,y+1/2,z'
'-x+1/2,-y+1/2,-z'
'-x+1/2,y+1/2,-z'
'x+1/2,-y+1/2,z'
loop_
_atom_site_label
_atom_site_type_symbol
_atom_site_fract_x
_atom_site_fract_y
_atom_site_fract_z
Gd1 Gd 0.0435 0.0000 0.2806
Er1 Er 0.1823 0.5000 0.7984
Al1 Al 0.0000 0.5000 0.0000
Al2 Al 0.2167 0.5000 0.3319
# **Magnetization**: 0.02 μB per formula unit
# **Total DFT energy (no corrections)**: -61.9 eV for the cell shown

# PBE GdEr4Al15, relaxed
data_GdEr4Al15
_chemical_formula_sum 'Gd3 Er12 Al45'
_cell_length_a 6.0850
_cell_length_b 6.0850
_cell_length_c 35.8374
_cell_angle_alpha 90.00
_cell_angle_beta 90.00
_cell_angle_gamma 120.00
_symmetry_space_group_name_H-M 'R -3 m'
_symmetry_Int_Tables_number 166
_symmetry_space_group_name_Hall '-R 3 2"'
loop_
_atom_site_label
_atom_site_type_symbol
_atom_site_fract_x
_atom_site_fract_y
_atom_site_fract_z
Gd1 Gd 0.0000 0.0000 0.0000
Er1 Er 0.0000 0.0000 0.1313
Er2 Er 0.0000 0.0000 0.4001
Al1 Al 0.0000 0.5000 0.0000
Al2 Al 0.0034 0.5017 0.8662
Al3 Al 0.0332 0.5166 0.4000
# **Magnetization**: 0.00 μB per formula unit
# **Total DFT energy (no corrections)**: -262.7 eV for the cell shown

# PBE GdErAl6, relaxed
data_GdErAl6
_chemical_formula_sum 'Gd1 Er1 Al6'
_cell_length_a 6.2846
_cell_length_b 6.2846
_cell_length_c 4.6023
_cell_angle_alpha 90.00
_cell_angle_beta 90.00
_cell_angle_gamma 120.00
_symmetry_space_group_name_H-M 'P -6 m 2'
_symmetry_Int_Tables_number 187
_symmetry_space_group_name_Hall 'P -6 2'
loop_
_atom_site_label
_atom_site_type_symbol
_atom_site_fract_x
_atom_site_fract_y
_atom_site_fract_z
Gd1 Gd 0.0000 0.0000 0.0000
Er1 Er 0.3333 0.6667 0.5000
Al1 Al 0.3744 0.1872 0.5000
Al2 Al 0.5191 0.0383 0.0000
# **Magnetization**: 0.00 μB per formula unit
# **Total DFT energy (no corrections)**: -35.1 eV for the cell shown